Entry from Alexandria via LeMat-Bulk: a relaxed TiSnW2F crystal (GGA+U).

Cell and atoms, written as CIF:
```
data_TiSnW2F
_space_group_name_H-M_alt 'P 4/m m m'
_space_group_IT_number 123
_space_group_name_Hall '-P 4 2'
_cell_length_a 4.4005
_cell_length_b 4.4005
_cell_length_c 4.2944
_cell_angle_alpha 90.00
_cell_angle_beta 90.00
_cell_angle_gamma 90.00
loop_
_atom_site_label
_atom_site_type_symbol
_atom_site_fract_x
_atom_site_fract_y
_atom_site_fract_z
Ti1 Ti 0.0000 0.0000 0.0000
Sn1 Sn 0.5000 0.5000 0.0000
W1 W 0.0000 0.5000 0.5000
F1 F 0.0000 0.0000 0.5000
```

Summary:
Total energy (eV per cell): -25.6